(1)
The following is a DFT calculation (PBE-GGA) of a relaxed Rb2PuS2Cl2 crystal.

Values from the calculation:
DFT total energy in eV/atom: -5.6882
E_form (uncorrected) in kcal/mol of atoms: -38.221

```
data_Rb2PuS2Cl2
_chemical_formula_sum 'Rb4 Pu2 S4 Cl4'
_cell_length_a 5.229
_cell_length_b 5.229
_cell_length_c 16.950
_cell_angle_alpha 90.00
_cell_angle_beta 90.00
_cell_angle_gamma 90.00
_symmetry_space_group_name_H-M 'I 4/m m m'
_symmetry_Int_Tables_number 139
_symmetry_space_group_name_Hall '-I 4 2'
loop_
_atom_site_label
_atom_site_type_symbol
_atom_site_fract_x
_atom_site_fract_y
_atom_site_fract_z
Rb1 Rb 0.000 0.000 0.141
Pu1 Pu 0.000 0.000 0.500
S1 S 0.000 0.500 0.000
Cl1 Cl 0.000 0.000 0.338
```

(2)
The following is a DFT calculation (PBE-GGA) of a relaxed Gd2TlOs crystal.

Values from the calculation:
Energy of formation in meV per atom: 90.8
Offset from the most stable computed form in meV/atom: 371.7
DFT total energy in eV/atom: -10.3487

```
data_Gd2TlOs
_chemical_formula_sum 'Gd6 Tl3 Os3'
_cell_length_a 3.9295
_cell_length_b 3.9295
_cell_length_c 29.5103
_cell_angle_alpha 90.00
_cell_angle_beta 90.00
_cell_angle_gamma 120.00
_symmetry_space_group_name_H-M 'R -3 m'
_symmetry_Int_Tables_number 166
_symmetry_space_group_name_Hall '-R 3 2"'
loop_
_atom_site_label
_atom_site_type_symbol
_atom_site_fract_x
_atom_site_fract_y
_atom_site_fract_z
Gd1 Gd 0.0000 0.0000 0.1140
Tl1 Tl 0.0000 0.0000 0.0000
Os1 Os 0.0000 0.0000 0.5000
```

(3)
The following is a DFT calculation (PBE-GGA) of a relaxed Na2Zn3Si2 crystal.

Values from the calculation:
DFT total energy in eV/atom: -2.4261
E_form (uncorrected) in kcal/mol of atoms: 1.066

```
data_Na2Zn3Si2
_chemical_formula_sum 'Na4 Zn6 Si4'
_cell_length_a 10.299
_cell_length_b 4.283
_cell_length_c 6.410
_cell_angle_alpha 90.00
_cell_angle_beta 108.21
_cell_angle_gamma 90.00
_symmetry_space_group_name_H-M 'C 1 2/m 1'
_symmetry_Int_Tables_number 12
_symmetry_space_group_name_Hall '-C 2y'
loop_
_atom_site_label
_atom_site_type_symbol
_atom_site_fract_x
_atom_site_fract_y
_atom_site_fract_z
Na1 Na 0.127 0.000 0.353
Zn1 Zn 0.000 0.500 0.000
Zn2 Zn 0.202 0.000 0.867
Si1 Si 0.092 0.500 0.698
```

(4)
The following is a DFT calculation (PBE-GGA) of a relaxed YNi3H8Pd2 crystal.

Values from the calculation:
DFT total energy in eV/atom: -4.5673

```
data_YNi3H8Pd2
_chemical_formula_sum 'Y3 Ni9 H24 Pd6'
_cell_length_a 5.3719
_cell_length_b 5.3719
_cell_length_c 13.9379
_cell_angle_alpha 90.00
_cell_angle_beta 90.00
_cell_angle_gamma 120.00
_symmetry_space_group_name_H-M 'R 3 m'
_symmetry_Int_Tables_number 160
_symmetry_space_group_name_Hall 'R 3 -2"'
loop_
_atom_site_label
_atom_site_type_symbol
_atom_site_fract_x
_atom_site_fract_y
_atom_site_fract_z
Y1 Y 0.0000 0.0000 0.0000
Ni1 Ni 0.1692 0.3384 0.2027
H1 H 0.0000 0.0000 0.1539
H2 H 0.0000 0.0000 0.6034
H3 H 0.0238 0.5119 0.1366
H4 H 0.2037 0.4074 0.9305
Pd1 Pd 0.0000 0.0000 0.3731
Pd2 Pd 0.0000 0.0000 0.7370
```

(5)
The following is a DFT calculation (PBE-GGA) of a relaxed TlOs2IO crystal.

Values from the calculation:
DFT total energy in eV/atom: -3.3784
E_form (uncorrected) in kcal/mol of atoms: 66.610

```
data_TlOs2IO
_chemical_formula_sum 'Tl1 Os2 I1 O1'
_cell_length_a 5.248
_cell_length_b 5.248
_cell_length_c 6.323
_cell_angle_alpha 90.00
_cell_angle_beta 90.00
_cell_angle_gamma 90.00
_symmetry_space_group_name_H-M 'P 4/m m m'
_symmetry_Int_Tables_number 123
_symmetry_space_group_name_Hall '-P 4 2'
loop_
_atom_site_label
_atom_site_type_symbol
_atom_site_fract_x
_atom_site_fract_y
_atom_site_fract_z
Tl1 Tl 0.000 0.000 0.000
Os1 Os 0.000 0.500 0.000
I1 I 0.000 0.000 0.500
O1 O 0.500 0.500 0.500
```

(6)
The following is a DFT calculation (PBE-GGA) of a relaxed BaRe2Ru crystal.

Values from the calculation:
Energy of formation in meV per atom: 1456.5
Offset from the most stable computed form in meV/atom: 878.2
DFT total energy in eV/atom: -7.5672

```
data_BaRe2Ru
_chemical_formula_sum 'Ba2 Re4 Ru2'
_cell_length_a 5.408
_cell_length_b 10.198
_cell_length_c 2.867
_cell_angle_alpha 90.00
_cell_angle_beta 107.92
_cell_angle_gamma 90.00
_symmetry_space_group_name_H-M 'C 1 2/m 1'
_symmetry_Int_Tables_number 12
_symmetry_space_group_name_Hall '-C 2y'
loop_
_atom_site_label
_atom_site_type_symbol
_atom_site_fract_x
_atom_site_fract_y
_atom_site_fract_z
Ba1 Ba 0.000 0.000 0.000
Re1 Re 0.250 0.250 0.500
Ru1 Ru 0.000 0.500 0.000
```

(7)
The following is a DFT calculation (PBE-GGA) of a relaxed Tl3Cd2Pd8 crystal.

Values from the calculation:
Energy of formation in meV per atom: -34.0
DFT total energy in eV/atom: -3.9164

```
data_Tl3Cd2Pd8
_chemical_formula_sum 'Tl9 Cd6 Pd24'
_cell_length_a 5.3878
_cell_length_b 5.3878
_cell_length_c 30.4746
_cell_angle_alpha 90.00
_cell_angle_beta 90.00
_cell_angle_gamma 120.00
_symmetry_space_group_name_H-M 'R -3 m'
_symmetry_Int_Tables_number 166
_symmetry_space_group_name_Hall '-R 3 2"'
loop_
_atom_site_label
_atom_site_type_symbol
_atom_site_fract_x
_atom_site_fract_y
_atom_site_fract_z
Tl1 Tl 0.0000 0.0000 0.0000
Tl2 Tl 0.0000 0.0000 0.1842
Cd1 Cd 0.0000 0.0000 0.3621
Pd1 Pd 0.0000 0.0000 0.2734
Pd2 Pd 0.0018 0.5009 0.7702
```

(8)
The following is a DFT calculation (PBE-GGA) of a relaxed Hg3SbPd6 crystal.

Values from the calculation:
DFT total energy in eV/atom: -3.8518
E_form (uncorrected) in kcal/mol of atoms: -5.380

```
data_Hg3SbPd6
_chemical_formula_sum 'Hg6 Sb2 Pd12'
_cell_length_a 8.990
_cell_length_b 4.196
_cell_length_c 9.431
_cell_angle_alpha 90.00
_cell_angle_beta 95.41
_cell_angle_gamma 90.00
_symmetry_space_group_name_H-M 'P 1 21/m 1'
_symmetry_Int_Tables_number 11
_symmetry_space_group_name_Hall '-P 2yb'
loop_
_atom_site_label
_atom_site_type_symbol
_atom_site_fract_x
_atom_site_fract_y
_atom_site_fract_z
Hg1 Hg 0.052 0.250 0.398
Hg2 Hg 0.161 0.750 0.200
Hg3 Hg 0.256 0.250 0.995
Sb1 Sb 0.422 0.250 0.631
Pd1 Pd 0.047 0.750 0.902
Pd2 Pd 0.138 0.250 0.703
Pd3 Pd 0.257 0.750 0.504
Pd4 Pd 0.343 0.750 0.806
Pd5 Pd 0.376 0.250 0.328
Pd6 Pd 0.450 0.750 0.100
```

(9)
The following is a DFT calculation (PBE-GGA) of a relaxed NpTiGe crystal.

Values from the calculation:
Energy of formation in meV per atom: 94.7
DFT total energy in eV/atom: -8.3896

```
data_NpTiGe
_chemical_formula_sum 'Np8 Ti8 Ge8'
_cell_length_a 6.339
_cell_length_b 10.057
_cell_length_c 7.774
_cell_angle_alpha 90.00
_cell_angle_beta 90.00
_cell_angle_gamma 90.00
_symmetry_space_group_name_H-M 'C m c e'
_symmetry_Int_Tables_number 64
_symmetry_space_group_name_Hall '-C 2ac 2'
loop_
_atom_site_label
_atom_site_type_symbol
_atom_site_fract_x
_atom_site_fract_y
_atom_site_fract_z
Np1 Np 0.000 0.228 0.127
Ti1 Ti 0.000 0.053 0.799
Ge1 Ge 0.195 0.000 0.500
```

(10)
The following is a DFT calculation (PBE-GGA) of a relaxed FeCu2Ir crystal.

Values from the calculation:
Energy of formation in meV per atom: 194.6
Offset from the most stable computed form in meV/atom: 125.9
DFT total energy in eV/atom: -6.1844

```
data_FeCu2Ir
_chemical_formula_sum 'Fe1 Cu2 Ir1'
_cell_length_a 2.636
_cell_length_b 2.636
_cell_length_c 7.382
_cell_angle_alpha 90.00
_cell_angle_beta 90.00
_cell_angle_gamma 90.00
_symmetry_space_group_name_H-M 'P 4/m m m'
_symmetry_Int_Tables_number 123
_symmetry_space_group_name_Hall '-P 4 2'
loop_
_atom_site_label
_atom_site_type_symbol
_atom_site_fract_x
_atom_site_fract_y
_atom_site_fract_z
Fe1 Fe 0.000 0.000 0.000
Cu1 Cu 0.500 0.500 0.242
Ir1 Ir 0.000 0.000 0.500
```

(11)
The following is a DFT calculation (PBE-GGA) of a relaxed RbNaPa2S5 crystal.

Values from the calculation:
DFT total energy in eV/atom: -6.1828
E_form (uncorrected) in kcal/mol of atoms: -35.180

```
data_RbNaPa2S5
_chemical_formula_sum 'Rb4 Na4 Pa8 S20'
_cell_length_a 7.656
_cell_length_b 7.656
_cell_length_c 15.366
_cell_angle_alpha 90.00
_cell_angle_beta 90.00
_cell_angle_gamma 90.00
_symmetry_space_group_name_H-M 'I 4/m c m'
_symmetry_Int_Tables_number 140
_symmetry_space_group_name_Hall '-I 4 2c'
loop_
_atom_site_label
_atom_site_type_symbol
_atom_site_fract_x
_atom_site_fract_y
_atom_site_fract_z
Rb1 Rb 0.000 0.000 0.250
Na1 Na 0.000 0.500 0.250
Pa1 Pa 0.161 0.339 0.000
S1 S 0.000 0.000 0.000
S2 S 0.146 0.354 0.388
```

(12)
The following is a DFT calculation (PBE-GGA) of a relaxed SmEr2Mg2 crystal.

Values from the calculation:
Energy of formation in meV per atom: 113.6
Offset from the most stable computed form in meV/atom: 176.5
DFT total energy in eV/atom: -3.2932

```
data_SmEr2Mg2
_chemical_formula_sum 'Sm4 Er8 Mg8'
_cell_length_a 3.424
_cell_length_b 15.868
_cell_length_c 10.926
_cell_angle_alpha 90.00
_cell_angle_beta 90.00
_cell_angle_gamma 90.00
_symmetry_space_group_name_H-M 'C m c 21'
_symmetry_Int_Tables_number 36
_symmetry_space_group_name_Hall 'C 2c -2'
loop_
_atom_site_label
_atom_site_type_symbol
_atom_site_fract_x
_atom_site_fract_y
_atom_site_fract_z
Sm1 Sm 0.000 0.076 0.000
Er1 Er 0.000 0.229 0.401
Er2 Er 0.000 0.390 0.133
Mg1 Mg 0.000 0.284 0.663
Mg2 Mg 0.000 0.442 0.811
```

(13)
The following is a DFT calculation (PBE-GGA) of a relaxed K2PH crystal.

Values from the calculation:
Offset from the most stable computed form in meV/atom: 192.9
DFT total energy in eV/atom: -2.7753

```
data_K2PH
_chemical_formula_sum 'K8 P4 H4'
_cell_length_a 11.304
_cell_length_b 11.304
_cell_length_c 3.682
_cell_angle_alpha 90.00
_cell_angle_beta 90.00
_cell_angle_gamma 90.00
_symmetry_space_group_name_H-M 'I -4 2 d'
_symmetry_Int_Tables_number 122
_symmetry_space_group_name_Hall 'I -4 2bw'
loop_
_atom_site_label
_atom_site_type_symbol
_atom_site_fract_x
_atom_site_fract_y
_atom_site_fract_z
K1 K 0.011 0.250 0.125
P1 P 0.000 0.000 0.500
H1 H 0.000 0.000 0.000
```

(14)
The following is a DFT calculation (PBE-GGA) of a relaxed YPdF3 crystal.

Values from the calculation:
Offset from the most stable computed form in meV/atom: 0.0
DFT total energy in eV/atom: -6.0760
E_form (uncorrected) in kcal/mol of atoms: -60.461

```
data_YPdF3
_chemical_formula_sum 'Y1 Pd1 F3'
_cell_length_a 4.416
_cell_length_b 4.416
_cell_length_c 4.416
_cell_angle_alpha 90.00
_cell_angle_beta 90.00
_cell_angle_gamma 90.00
_symmetry_space_group_name_H-M 'P m -3 m'
_symmetry_Int_Tables_number 221
_symmetry_space_group_name_Hall '-P 4 2 3'
loop_
_atom_site_label
_atom_site_type_symbol
_atom_site_fract_x
_atom_site_fract_y
_atom_site_fract_z
Y1 Y 0.000 0.000 0.000
Pd1 Pd 0.500 0.500 0.500
F1 F 0.000 0.000 0.500
```